# Cd2BiPSe (GGA-PBE, relaxed)
# Raw formation energy, eV/atom: 0.797
# Space-group type: P4/mmm
# DOS(E_F), states/eV/f.u.: 3.809
# Total DFT energy (no corrections), eV/atom: -2.124
data_Cd2BiPSe
_symmetry_space_group_name_H-M 'P 1'
_symmetry_Int_Tables_number 1
_symmetry_space_group_name_Hall 'P 1'
_cell_length_a 5.692
_cell_length_b 5.692
_cell_length_c 5.265
_cell_angle_alpha 90.00
_cell_angle_beta 90.00
_cell_angle_gamma 90.00
loop_
_atom_site_label
_atom_site_fract_x
_atom_site_fract_y
_atom_site_fract_z
Cd1 0.000 0.500 0.000
Cd2 0.500 0.000 0.000
Bi1 0.000 0.000 0.000
P1 0.000 0.000 0.500
Se1 0.500 0.500 0.500